{"formula": "LaBeZnHRhS", "functional": "PBE", "state": "relaxed", "de_polymorph_ev_per_fu": 0.00, "lattice": [[7.892, 0.000, 0.000], [0.000, 4.182, 0.000], [-3.809, 0.000, 5.822]], "species": ["La", "La", "Be", "Be", "Zn", "Zn", "H", "H", "Rh", "Rh", "S", "S"], "fractional_positions": [[0.000, 0.000, 0.000], [0.500, 0.500, 0.000], [0.230, 0.500, 0.490], [0.730, 0.000, 0.490], [0.130, 0.000, 0.611], [0.630, 0.500, 0.611], [0.106, 0.500, 0.878], [0.606, 0.000, 0.878], [0.438, 0.000, 0.592], [0.938, 0.500, 0.592], [0.426, 0.000, 0.232], [0.926, 0.500, 0.232]]}

---

{"formula": "DyThTc", "functional": "PBE", "state": "relaxed", "e_form_ev_per_atom": 0.00, "de_polymorph_ev_per_fu": 0.34, "lattice": [[6.891, 0.000, 0.000], [0.000, 6.891, 0.000], [0.000, 0.000, 6.891]], "species": ["Dy", "Dy", "Dy", "Dy", "Th", "Th", "Th", "Th", "Tc", "Tc", "Tc", "Tc"], "fractional_positions": [[0.000, 0.000, 0.000], [0.000, 0.500, 0.500], [0.500, 0.000, 0.500], [0.500, 0.500, 0.000], [0.000, 0.000, 0.500], [0.000, 0.500, 0.000], [0.500, 0.000, 0.000], [0.500, 0.500, 0.500], [0.250, 0.250, 0.250], [0.250, 0.750, 0.750], [0.750, 0.250, 0.750], [0.750, 0.750, 0.250]]}

---

{"formula": "Mn3Mo2C2", "functional": "PBE", "state": "relaxed", "e_form_ev_per_atom": -0.04, "lattice": [[8.485, 0.000, 0.000], [0.000, 2.777, 0.000], [-2.477, 0.000, 6.152]], "species": ["Mn", "Mn", "Mn", "Mn", "Mn", "Mn", "Mo", "Mo", "Mo", "Mo", "C", "C", "C", "C"], "fractional_positions": [[0.000, 0.000, 0.000], [0.117, 0.000, 0.420], [0.383, 0.500, 0.580], [0.500, 0.500, 0.000], [0.617, 0.500, 0.420], [0.883, 0.000, 0.580], [0.163, 0.500, 0.790], [0.337, 0.000, 0.210], [0.663, 0.000, 0.790], [0.837, 0.500, 0.210], [0.141, 0.500, 0.225], [0.359, 0.000, 0.775], [0.641, 0.000, 0.225], [0.859, 0.500, 0.775]]}

---

{"formula": "DyAlTc", "functional": "PBE", "state": "relaxed", "e_form_ev_per_atom": -0.23, "de_polymorph_ev_per_fu": 0.59, "lattice": [[3.429, 0.000, 0.000], [0.000, 3.429, 0.000], [0.000, 0.000, 9.844]], "species": ["Dy", "Dy", "Al", "Al", "Tc", "Tc"], "fractional_positions": [[0.000, 0.000, 0.000], [0.500, 0.500, 0.500], [0.000, 0.000, 0.292], [0.500, 0.500, 0.792], [0.000, 0.000, 0.689], [0.500, 0.500, 0.189]]}

---

{"formula": "TlCr2Re", "functional": "PBE", "state": "relaxed", "e_form_ev_per_atom": 0.65, "de_polymorph_ev_per_fu": 0.72, "lattice": [[2.968, 0.000, 0.000], [-1.484, 2.570, 0.000], [0.000, 0.000, 26.052]], "species": ["Tl", "Tl", "Tl", "Cr", "Cr", "Cr", "Cr", "Cr", "Cr", "Re", "Re", "Re"], "fractional_positions": [[0.000, 0.000, 0.000], [0.333, 0.667, 0.667], [0.667, 0.333, 0.333], [0.000, 0.000, 0.241], [0.000, 0.000, 0.759], [0.333, 0.667, 0.426], [0.333, 0.667, 0.907], [0.667, 0.333, 0.093], [0.667, 0.333, 0.574], [0.000, 0.000, 0.500], [0.333, 0.667, 0.167], [0.667, 0.333, 0.833]]}

---

{"formula": "Zr2PtRh2", "functional": "PBE", "state": "relaxed", "e_form_ev_per_atom": -0.55, "de_polymorph_ev_per_fu": 1.15, "lattice": [[7.634, 0.000, 0.000], [0.000, 7.634, 0.000], [0.000, 0.000, 3.147]], "species": ["Zr", "Zr", "Zr", "Zr", "Pt", "Pt", "Rh", "Rh", "Rh", "Rh"], "fractional_positions": [[0.162, 0.338, 0.000], [0.338, 0.838, 0.000], [0.662, 0.162, 0.000], [0.838, 0.662, 0.000], [0.000, 0.000, 0.000], [0.500, 0.500, 0.000], [0.135, 0.635, 0.500], [0.365, 0.135, 0.500], [0.635, 0.865, 0.500], [0.865, 0.365, 0.500]]}

---

{"formula": "Ag2HgAuI6", "functional": "PBE", "state": "relaxed", "formation_energy_uncorrected_ev_per_atom": -0.1472, "lattice": [[7.520, 0.000, 0.000], [2.117, 7.269, 0.000], [2.972, 0.938, 7.120]], "species": ["Ag", "Ag", "Hg", "Au", "I", "I", "I", "I", "I", "I"], "fractional_positions": [[0.000, 0.000, 0.000], [0.424, 0.346, 0.765], [0.653, 0.680, 0.981], [0.169, 0.327, 0.330], [0.063, 0.588, 0.022], [0.270, 0.108, 0.655], [0.387, 0.556, 0.337], [0.596, 0.061, 0.025], [0.705, 0.569, 0.648], [0.950, 0.094, 0.347]]}